The following is a DFT calculation (GGA-PBE) of a relaxed ScMn2WI crystal.

a = 5.050 Å, b = 5.050 Å, c = 4.802 Å
α = 90.00°, β = 90.00°, γ = 90.00°
Positions (direct):
Sc 0.000 0.000 0.000
Mn 0.000 0.500 0.000
Mn 0.500 0.000 0.000
W 0.000 0.000 0.500
I 0.500 0.500 0.500

The magnetic moment comes out at 6.82 μB per cell. The value obtained for the uncorrected formation energy is 1.82 eV per atom.



The following is a DFT calculation (GGA-PBE) of a relaxed NdSm6Ho3Th2 crystal.

a = 6.235 Å, b = 6.235 Å, c = 11.941 Å
α = 95.00°, β = 95.00°, γ = 119.93°
Positions (direct):
Nd 0.000 0.000 0.000
Sm 0.084 0.422 0.249
Sm 0.254 0.254 0.750
Sm 0.422 0.084 0.249
Sm 0.578 0.916 0.751
Sm 0.746 0.746 0.250
Sm 0.916 0.578 0.751
Ho 0.167 0.833 0.500
Ho 0.500 0.500 0.500
Ho 0.833 0.167 0.500
Th 0.333 0.667 0.000
Th 0.667 0.333 0.000

The magnetic moment comes out at 0.00 μB per cell. The formation energy is 0.040 eV per atom.



The following is a DFT calculation (GGA-PBE) of a relaxed Li2Zn2Ag5 crystal.

a = 10.832 Å, b = 10.832 Å, c = 5.708 Å
α = 105.14°, β = 105.14°, γ = 30.55°
Positions (direct):
Li 0.000 0.500 0.500
Li 0.250 0.750 0.750
Li 0.500 0.000 0.000
Li 0.750 0.250 0.250
Zn 0.058 0.561 0.060
Zn 0.439 0.942 0.440
Zn 0.561 0.058 0.560
Zn 0.942 0.439 0.940
Ag 0.104 0.104 0.104
Ag 0.104 0.104 0.604
Ag 0.251 0.749 0.250
Ag 0.396 0.396 0.396
Ag 0.396 0.396 0.896
Ag 0.604 0.604 0.104
Ag 0.604 0.604 0.604
Ag 0.749 0.251 0.750
Ag 0.896 0.896 0.396
Ag 0.896 0.896 0.896

The magnetic moment comes out at 0.00 μB per cell. Its energy above the most stable polymorph in this dataset is 0.57 eV per formula unit. The formation energy is -0.055 eV per atom.



The following is a DFT calculation (GGA-PBE) of a relaxed CaMg2Ir crystal.

a = 6.106 Å, b = 6.106 Å, c = 6.106 Å
α = 149.03°, β = 131.46°, γ = 58.70°
Positions (direct):
Ca 0.000 0.000 0.000
Mg 0.301 0.801 0.500
Mg 0.699 0.199 0.500
Ir 0.500 0.500 0.000

The magnetic moment comes out at 0.00 μB per cell. The formation energy is -0.243 eV per atom.



The following is a DFT calculation (GGA-PBE) of a relaxed NaMn2MoOs crystal.

a = 4.413 Å, b = 4.413 Å, c = 4.785 Å
α = 90.00°, β = 90.00°, γ = 90.00°
Positions (direct):
Na 0.000 0.000 0.000
Mn 0.000 0.500 0.500
Mn 0.500 0.000 0.500
Mo 0.500 0.500 0.000
Os 0.000 0.000 0.500

The magnetic moment comes out at 1.32 μB per cell. The formation energy is 2.131 eV per atom.



The following is a DFT calculation (GGA-PBE) of a relaxed KBaRh2 crystal.

a = 6.038 Å, b = 6.038 Å, c = 7.563 Å
α = 124.76°, β = 124.76°, γ = 43.59°
Positions (direct):
K 0.000 0.000 0.000
Ba 0.500 0.500 0.500
Rh 0.249 0.249 0.558
Rh 0.751 0.751 0.442

The magnetic moment comes out at 0.00 μB per cell. Its energy above the most stable polymorph in this dataset is 0.59 eV per formula unit. The formation energy is 0.258 eV per atom.



The following is a DFT calculation (GGA-PBE) of a relaxed Sc4AgCl crystal.

a = 5.928 Å, b = 5.928 Å, c = 5.928 Å
α = 60.00°, β = 60.00°, γ = 60.00°
Positions (direct):
Sc 0.123 0.123 0.123
Sc 0.123 0.123 0.630
Sc 0.123 0.630 0.123
Sc 0.630 0.123 0.123
Ag 0.750 0.750 0.750
Cl 0.500 0.500 0.500

The magnetic moment comes out at 0.00 μB per cell. The value obtained for the uncorrected formation energy is 0.34 eV per atom.



The following is a DFT calculation (GGA-PBE) of a relaxed Pm2NdIn2Ag2 crystal.

a = 9.533 Å, b = 9.533 Å, c = 9.533 Å
α = 29.88°, β = 29.88°, γ = 29.88°
Positions (direct):
Pm 0.126 0.126 0.126
Pm 0.874 0.874 0.874
Nd 0.000 0.000 0.000
In 0.261 0.261 0.261
In 0.739 0.739 0.739
Ag 0.399 0.399 0.399
Ag 0.601 0.601 0.601

The magnetic moment comes out at 0.00 μB per cell. The formation energy is -0.307 eV per atom.